# 1
TaReOs2, optimized geometry, DFT PBE-GGA; Fermi-level density of states = 0.9044 states/eV per atom; crystal system = tetragonal; raw total energy = -11.656 eV per atom; volume = 15.5 Å³/atom; total magnetic moment = 0.000 Bohr magnetons per cell; symmetry = P4mm
1.0
2.7719 0.0000 0.0000
0.0000 2.7719 0.0000
0.0000 0.0000 8.0583
Ta Re Os
1 1 2
direct
0.0000 0.0000 0.0000
0.5000 0.5000 0.7284
0.0000 0.0000 0.4945
0.5000 0.5000 0.2624

# 2
TaReOs2, optimized geometry, DFT PBE-GGA; Fermi-level density of states = 0.7236 states/eV per atom; crystal system = monoclinic; raw total energy = -11.700 eV per atom; volume = 15.4 Å³/atom; total magnetic moment = 0.000 Bohr magnetons per cell; symmetry = C2/m
1.0
4.6146 -1.3946 0.0000
4.6146 1.3946 0.0000
-0.8379 0.0000 4.8013
Ta Re Os
1 1 2
direct
0.0000 0.0000 0.0000
0.5000 0.5000 0.5000
0.2452 0.2452 0.7307
0.7548 0.7548 0.2693

# 3
Ta2ReOs, optimized geometry, DFT PBE-GGA; Fermi-level density of states = 0.5556 states/eV per atom; crystal system = tetragonal; raw total energy = -12.194 eV per atom; volume = 16.3 Å³/atom; total magnetic moment = 0.000 Bohr magnetons per cell; symmetry = P4/mmm
1.0
3.1924 0.0000 0.0000
0.0000 3.1924 0.0000
0.0000 0.0000 6.3869
Ta Re Os
2 1 1
direct
0.0000 0.0000 0.2461
0.0000 0.0000 0.7539
0.5000 0.5000 0.0000
0.5000 0.5000 0.5000

# 4
Ta6ReOs, optimized geometry, DFT PBE-GGA; Fermi-level density of states = 0.5101 states/eV per atom; crystal system = tetragonal; raw total energy = -12.120 eV per atom; volume = 17.2 Å³/atom; total magnetic moment = 0.000 Bohr magnetons per cell; symmetry = I4/mmm
1.0
-2.2828 2.2828 6.5850
2.2828 -2.2828 6.5850
2.2828 2.2828 -6.5850
Ta Re Os
6 1 1
direct
0.1211 0.6211 0.5000
0.2494 0.2494 0.0000
0.3789 0.8789 0.5000
0.6211 0.1211 0.5000
0.7506 0.7506 0.0000
0.8789 0.3789 0.5000
0.0000 0.0000 0.0000
0.5000 0.5000 0.0000

> Which value of raw total energy does entry 3 give?

-12.194 eV per atom